Material: Na2VPtO4
Method: DFT, PBE with a Hubbard U
State: relaxed

Unit cell a=5.158 b=5.158 c=5.158 alpha=106.93 beta=110.76 gamma=110.76
Fractional coordinates of all 8 atoms:
Na1 0.500 0.750 0.250
Na2 0.000 0.000 0.000
V1 0.000 0.500 0.500
Pt1 0.500 0.250 0.750
O1 0.664 0.509 0.546
O2 0.037 0.155 0.491
O3 0.963 0.454 0.117
O4 0.336 0.883 0.845

Values from the calculation:
calculated total energy: -5.919 eV/atom
crystal system: tetragonal
magnetization: 0.9 μB per formula unit